[1]
The following is a PBE-GGA calculation of MnZn3As after structural relaxation, from the Alexandria database.

abc: 4.706 4.706 4.706
angles: 90.00 90.00 90.00
Site moments in Bohr magnetons follow the coordinates.
Element x y z (fractional)
1 As 0.500 0.500 0.500  -0.02
2 Mn 0.000 0.000 0.000  2.92
3 Zn 0.000 0.500 0.000  -0.01
4 Zn 0.000 0.000 0.500  0.01
5 Zn 0.500 0.000 0.000  -0.04

Output
Space group: Pm-3m (221)
Calculated total energy: -2.777 eV per atom
ρ: 5.20 g/cm3

[2]
The following is a PBE-GGA calculation of Rh3C5 after structural relaxation, from the Alexandria database.

abc: 5.627 5.627 8.649
angles: 79.94 79.94 118.95
Element x y z (fractional)
1 C 0.242 0.742 0.490
2 C 0.740 0.240 0.473
3 C 0.965 0.865 0.172
4 C 0.148 0.249 0.670
5 C 0.472 0.553 0.009
6 C 0.304 0.352 0.329
7 C 0.749 0.648 0.670
8 C 0.365 0.465 0.172
9 C 0.852 0.804 0.329
10 C 0.053 0.972 0.009
11 Rh 0.359 0.334 0.831
12 Rh 0.834 0.859 0.831
13 Rh 0.875 0.375 0.656
14 Rh 0.086 0.586 0.323
15 Rh 0.337 0.119 0.521
16 Rh 0.619 0.837 0.521

Output
Space group: Cm (8)
Calculated total energy: -7.551 eV per atom
ρ: 5.44 g/cm3

[3]
The following is a PBE-GGA calculation of Er2BePt3 after structural relaxation, from the Alexandria database.

abc: 5.508 5.508 7.964
angles: 90.00 90.00 120.00
Element x y z (fractional)
1 Er 0.667 0.333 0.442
2 Er 0.333 0.667 0.558
3 Er 0.333 0.667 0.942
4 Er 0.667 0.333 0.058
5 Be 0.000 0.000 0.500
6 Be 0.000 0.000 0.000
7 Pt 0.165 0.329 0.250
8 Pt 0.329 0.165 0.750
9 Pt 0.835 0.671 0.750
10 Pt 0.165 0.835 0.250
11 Pt 0.835 0.165 0.750
12 Pt 0.671 0.835 0.250

Output
Space group: P6_3/mmc (194)
Calculated total energy: -6.230 eV per atom
ρ: 14.74 g/cm3